1.
# CsRb2TbF6

An optimized crystal structure of CsRb2TbF6 (PBE-GGA, Alexandria via LeMat-Bulk).

Cell: 6.7412 7.1045 9.6577 Å, 90.00 88.77 90.00°
Last column: nearest neighbours and their distance in Å.
Fractional coordinates of all 20 atoms:
Cs  0.5000  0.0000  0.0000  6 F 2.87-3.06
Cs  0.0000  0.5000  0.5000  6 F 2.87-3.06
Rb  0.0116  0.9568  0.2652  6 F 2.82-3.14
Rb  0.5117  0.5432  0.7652  6 F 2.82-3.14
Rb  0.9884  0.0432  0.7348  6 F 2.82-3.14
Rb  0.4884  0.4568  0.2348  6 F 2.82-3.14
Tb  0.5000  0.0000  0.5000  6 F 2.20-2.23
Tb  0.0000  0.5000  0.0000  6 F 2.20-2.23
F  0.2749  0.6593  0.0357  1 Tb 2.20
F  0.7749  0.8407  0.5357  1 Tb 2.20
F  0.7251  0.3407  0.9643  1 Tb 2.20
F  0.2251  0.1593  0.4643  1 Tb 2.20
F  0.3486  0.7509  0.4108  1 Tb 2.23
F  0.8486  0.7491  0.9108  1 Tb 2.23
F  0.6514  0.2491  0.5892  1 Tb 2.23
F  0.1514  0.2509  0.0892  1 Tb 2.23
F  0.8837  0.5837  0.2073  1 Tb 2.22
F  0.3837  0.9163  0.7073  1 Tb 2.22
F  0.1163  0.4163  0.7927  1 Tb 2.22
F  0.6163  0.0837  0.2927  1 Tb 2.22

## Properties
Crystal system: monoclinic
Theoretical density (g cm⁻³): 4.142
Electronic total energy (eV for the cell shown): -103.77
Total magnetic moment (μB/f.u.): 0.3
Energy relative to the elements, uncorrected (meV per atom): -3324


2.
# Os2SeN

An optimized crystal structure of Os2SeN (PBE-GGA, Alexandria via LeMat-Bulk).

Cell: 4.1576 4.1576 4.1576 Å, 60.00 60.00 60.00°
Last column: nearest neighbours and their distance in Å.
Fractional coordinates of all 4 atoms:
Os  0.2500  0.2500  0.2500  4 Se 2.55, 4 N 2.55
Os  0.7500  0.7500  0.7500  4 Se 2.55, 4 N 2.55
Se  0.5000  0.5000  0.5000  8 Os 2.55
N  0.0000  0.0000  0.0000  8 Os 2.55

## Properties
Energy above the most stable polymorph in this dataset (kJ per mole of atoms): 76.9
Crystal system: cubic
Theoretical density (g cm⁻³): 15.470
Electronic total energy (eV for the cell shown): -28.85
Total magnetic moment (μB/f.u.): 0.0
Energy relative to the elements, uncorrected (meV per atom): 1356


3.
# NaCu4Sn4

An optimized crystal structure of NaCu4Sn4 (PBE-GGA, Alexandria via LeMat-Bulk).

Cell: 5.3417 8.7801 8.7801 Å, 90.00 90.00 90.00°
Last column: nearest neighbours and their distance in Å.
Fractional coordinates of all 18 atoms:
Na  0.0000  0.0000  0.0000  4 Cu 3.26, 4 Sn 3.52
Na  0.5000  0.5000  0.5000  4 Cu 3.26, 4 Sn 3.52
Cu  0.6061  0.8251  0.3338  1 Cu 2.50, 5 Sn 2.67-2.71
Cu  0.6061  0.1749  0.6662  1 Cu 2.50, 5 Sn 2.67-2.71
Cu  0.1061  0.8338  0.6749  1 Cu 2.50, 5 Sn 2.67-2.71
Cu  0.8939  0.3251  0.8338  1 Cu 2.50, 5 Sn 2.67-2.71
Cu  0.8939  0.6749  0.1662  1 Cu 2.50, 5 Sn 2.67-2.71
Cu  0.3939  0.3338  0.1749  1 Cu 2.50, 5 Sn 2.67-2.71
Cu  0.3939  0.6662  0.8251  1 Cu 2.50, 5 Sn 2.67-2.71
Cu  0.1061  0.1662  0.3251  1 Cu 2.50, 5 Sn 2.67-2.71
Sn  0.3947  0.3607  0.8706  5 Cu 2.67-2.71
Sn  0.8947  0.6294  0.8607  5 Cu 2.67-2.71
Sn  0.3947  0.6393  0.1294  5 Cu 2.67-2.71
Sn  0.1053  0.1393  0.6294  5 Cu 2.67-2.71
Sn  0.6053  0.8706  0.6393  5 Cu 2.67-2.71
Sn  0.1053  0.8607  0.3706  5 Cu 2.67-2.71
Sn  0.8947  0.3706  0.1393  5 Cu 2.67-2.71
Sn  0.6053  0.1294  0.3607  5 Cu 2.67-2.71

## Properties
ΔE_f (eV/atom): 0.0468
Crystal system: tetragonal
Theoretical density (g cm⁻³): 6.065
Electronic total energy (eV for the cell shown): -66.59
Total magnetic moment (μB/f.u.): 0.0